1.
A relaxed ZnFeSe2 crystal. Source: Alexandria via LeMat-Bulk, functional GGA-PBE.

Unit cell a=5.000 b=3.372 c=6.330 alpha=90.00 beta=92.46 gamma=90.00
Space group P2/m (No. 10)
Inequivalent atoms, fractional coordinates:
Zn (0.000, 0.000, 0.000)
Fe (0.500, 0.000, 0.000)
Se (0.310, 0.500, 0.776)

Computed properties:
uncorrected formation energy = -6.89 kJ per mole of atoms


2.
A relaxed ZnFe2Se crystal. Source: Alexandria via LeMat-Bulk, functional GGA-PBE.

Unit cell a=8.221 b=3.061 c=4.583 alpha=90.00 beta=100.85 gamma=90.00
Space group C2/m (No. 12)
Inequivalent atoms, fractional coordinates:
Zn (0.000, 0.000, 0.000)
Fe (0.249, 0.000, 0.752)
Se (0.000, 0.500, 0.500)

Computed properties:
uncorrected formation energy = 21.93 kJ per mole of atoms


3.
A relaxed ZnFe2Se crystal. Source: Alexandria via LeMat-Bulk, functional GGA-PBE.

Unit cell a=3.043 b=3.043 c=6.639 alpha=90.00 beta=90.00 gamma=90.00
Space group P4mm (No. 99)
Inequivalent atoms, fractional coordinates:
Zn (0.000, 0.000, 0.000)
Fe (0.000, 0.000, 0.410)
Fe (0.500, 0.500, 0.206)
Se (0.500, 0.500, 0.593)

Computed properties:
uncorrected formation energy = 7.26 kJ per mole of atoms


4.
A relaxed ZnFeSe3 crystal. Source: Alexandria via LeMat-Bulk, functional GGA-PBE.

Unit cell a=4.885 b=4.885 c=4.885 alpha=90.00 beta=90.00 gamma=90.00
Space group Pm-3m (No. 221)
Inequivalent atoms, fractional coordinates:
Zn (0.000, 0.000, 0.000)
Fe (0.500, 0.500, 0.500)
Se (0.000, 0.000, 0.500)

Computed properties:
uncorrected formation energy = 74.98 kJ per mole of atoms


5.
A relaxed ZnFeSe2 crystal. Source: Alexandria via LeMat-Bulk, functional GGA-PBE.

Unit cell a=3.484 b=3.583 c=7.532 alpha=90.00 beta=90.00 gamma=90.00
Space group Pmmm (No. 47)
Inequivalent atoms, fractional coordinates:
Zn (0.000, 0.000, 0.000)
Fe (0.000, 0.500, 0.500)
Se (0.500, 0.000, 0.500)
Se (0.500, 0.500, 0.000)

Computed properties:
uncorrected formation energy = 9.95 kJ per mole of atoms


6.
A relaxed ZnFeSe2 crystal. Source: Alexandria via LeMat-Bulk, functional GGA-PBE.

Unit cell a=5.815 b=4.232 c=7.342 alpha=90.00 beta=90.00 gamma=90.00
Space group Amm2 (No. 38)
Inequivalent atoms, fractional coordinates:
Zn (0.000, 0.000, 0.000)
Fe (0.500, 0.000, 0.334)
Se (0.000, 0.000, 0.333)
Se (0.500, 0.000, 0.001)

Computed properties:
uncorrected formation energy = -17.26 kJ per mole of atoms